1.
Here is an optimized crystal structure of NaCaTl2Pb from Alexandria via LeMat-Bulk. Energies are from PBE-GGA.

Results
- energy of formation (meV per atom) = -216

Lattice parameters (Å, degrees): 8.6373 8.6373 7.1152 90.00 90.00 146.55
Fractional positions:
Na1 0.1135 0.8865 0.7500
Na2 0.8865 0.1135 0.2500
Ca1 0.1007 0.8993 0.2500
Ca2 0.8993 0.1007 0.7500
Tl1 0.3029 0.6971 0.5020
Tl2 0.3029 0.6971 0.9980
Tl3 0.6971 0.3029 0.0020
Tl4 0.6971 0.3029 0.4980
Pb1 0.5000 0.5000 0.0000
Pb2 0.5000 0.5000 0.5000

---

2.
Here is an optimized crystal structure of LiSbP2O from Alexandria via LeMat-Bulk. Energies are from PBE-GGA.

Results
- ΔE_f (raw) (eV per atom) = 0.363
- relative energy among the computed polymorphs (meV per atom) = 100

Lattice parameters (Å, degrees): 4.7154 4.7154 3.5098 90.00 90.00 90.00
Fractional positions:
Li1 0.0000 0.0000 0.0000
Sb1 0.5000 0.5000 0.5000
P1 0.0000 0.5000 0.0000
P2 0.5000 0.0000 0.0000
O1 0.0000 0.0000 0.5000

---

3.
Here is an optimized crystal structure of SrAg2GeO4 from Alexandria via LeMat-Bulk. Energies are from PBE-GGA.

Results
- ΔE_f (raw) (eV per atom) = -1.386

Lattice parameters (Å, degrees): 5.4308 5.4308 5.4308 112.27 111.04 105.20
Fractional positions:
Sr1 0.0000 0.0000 0.0000
Ag1 0.2777 0.7777 0.5000
Ag2 0.7223 0.2223 0.5000
Ge1 0.5000 0.5000 0.0000
O1 0.1721 0.1683 0.6678
O2 0.4995 0.8317 0.0037
O3 0.5005 0.5043 0.3322
O4 0.8279 0.4957 0.9963

---

4.
Here is an optimized crystal structure of CdCo2Ni from Alexandria via LeMat-Bulk. Energies are from PBE-GGA.

Results
- energy of formation (meV per atom) = 256
- relative energy among the computed polymorphs (meV per atom) = 100

Lattice parameters (Å, degrees): 4.5982 4.5982 4.5735 101.35 101.35 34.12
Fractional positions:
Cd1 0.0000 0.0000 0.0000
Co1 0.2382 0.2382 0.7134
Co2 0.7618 0.7618 0.2866
Ni1 0.5000 0.5000 0.5000

---

- What is the formula in the first record?
  NaCaTl2Pb

---

- Number 4 is which compound?
  CdCo2Ni